Entry 1:
Density functional theory data (PBE) for a relaxed structure of VZnCr.

abc: 2.448 4.268 4.268
angles: 120.00 90.00 90.00
Positions (direct):
Zn (0.344, 0.667, 0.333)
V (0.969, 0.000, 0.000)
Cr (0.687, 0.333, 0.667)

Properties
* ρ: 7.2 g cm⁻³
* spin magnetization: 0.0003 μB/atom
* energy above the lowest structure with this stoichiometry: 46 meV per atom

---

Entry 2:
Density functional theory data (PBE) for a relaxed structure of Hf2MnHg.

abc: 3.191 3.191 7.312
angles: 90.00 90.00 90.00
Positions (direct):
Hf (0.000, 0.000, 0.791)
Hf (0.000, 0.000, 0.209)
Hg (0.500, 0.500, 0.500)
Mn (0.500, 0.500, 0.000)

Properties
* ρ: 13.7 g cm⁻³
* spin magnetization: 0.0000 μB/atom
* total DFT energy (no corrections): -29.99 eV per formula unit

---

Entry 3:
Density functional theory data (PBE) for a relaxed structure of Ce2CdIr9.

abc: 5.278 5.278 9.419
angles: 73.73 73.73 60.00
Positions (direct):
Ce (0.864, 0.864, 0.408)
Ce (0.136, 0.136, 0.592)
Ir (0.918, 0.417, 0.248)
Ir (0.333, 0.333, 0.001)
Ir (0.583, 0.082, 0.752)
Ir (0.417, 0.918, 0.248)
Ir (0.500, 0.500, 0.500)
Ir (0.082, 0.583, 0.752)
Ir (0.583, 0.583, 0.752)
Ir (0.417, 0.417, 0.248)
Ir (0.667, 0.667, 0.999)
Cd (0.000, 0.000, 0.000)

Properties
* ρ: 16.4 g cm⁻³
* spin magnetization: 0.0000 μB/atom
* total DFT energy (no corrections): -96.17 eV per formula unit

---

Entry 4:
Density functional theory data (PBE) for a relaxed structure of Er5GaS5.

abc: 5.531 6.819 7.873
angles: 106.84 90.00 113.92
Positions (direct):
S (0.000, 0.000, 0.500)
S (0.327, 0.653, 0.667)
S (0.327, 0.654, 0.158)
S (0.673, 0.347, 0.333)
S (0.673, 0.346, 0.842)
Er (0.834, 0.667, 0.662)
Er (0.500, 0.000, 0.000)
Er (0.166, 0.333, 0.338)
Er (0.162, 0.323, 0.824)
Er (0.838, 0.677, 0.176)
Ga (0.000, 0.000, 0.000)

Properties
* ρ: 6.9 g cm⁻³
* spin magnetization: 0.0000 μB/atom
* ΔE_f (raw): -1.7598 eV/atom

---

Entry 5:
Density functional theory data (PBE) for a relaxed structure of MgGaBi2Pt.

abc: 5.500 4.693 5.500
angles: 90.00 90.00 90.00
Positions (direct):
Pt (0.000, 0.500, 0.000)
Ga (0.000, 0.000, 0.000)
Bi (0.000, 0.000, 0.500)
Bi (0.500, 0.000, 0.000)
Mg (0.500, 0.500, 0.500)

Properties
* ρ: 8.3 g cm⁻³
* spin magnetization: 0.0000 μB/atom
* total DFT energy (no corrections): -16.59 eV per formula unit

---

Entry 6:
Density functional theory data (PBE) for a relaxed structure of Cs3Sc2BiTe6.

abc: 7.765 7.765 9.208
angles: 98.08 98.08 120.00
Positions (direct):
Te (0.711, 0.711, 0.182)
Te (0.289, 0.289, 0.818)
Te (0.589, 0.939, 0.816)
Te (0.939, 0.589, 0.816)
Te (0.061, 0.411, 0.184)
Te (0.411, 0.061, 0.184)
Sc (0.333, 0.667, 0.000)
Sc (0.667, 0.333, 0.000)
Cs (0.162, 0.838, 0.500)
Cs (0.838, 0.162, 0.500)
Cs (0.500, 0.500, 0.500)
Bi (0.000, 0.000, 0.000)

Properties
* ρ: 5.3 g cm⁻³
* spin magnetization: 0.0000 μB/atom
* ΔE_f (raw): -1.0271 eV/atom

---

Entry 7:
Density functional theory data (PBE) for a relaxed structure of RbTaW2.

abc: 4.967 4.967 9.827
angles: 75.36 75.36 90.00
Positions (direct):
W (0.875, 0.050, 0.750)
W (0.375, 0.200, 0.750)
W (0.950, 0.625, 0.250)
W (0.800, 0.125, 0.250)
Rb (0.500, 0.500, 0.000)
Rb (0.250, 0.750, 0.500)
Ta (0.000, 0.000, 0.000)
Ta (0.750, 0.250, 0.500)

Properties
* ρ: 9.3 g cm⁻³
* spin magnetization: 0.0000 μB/atom
* energy above the lowest structure with this stoichiometry: 234 meV per atom

---

Entry 8:
Density functional theory data (PBE) for a relaxed structure of BaAl2H8.

abc: 4.363 4.363 6.005
angles: 90.00 90.00 90.00
Positions (direct):
H (0.755, 0.245, 0.176)
H (0.245, 0.755, 0.176)
H (0.755, 0.245, 0.824)
H (0.245, 0.245, 0.176)
H (0.245, 0.245, 0.824)
H (0.755, 0.755, 0.176)
H (0.245, 0.755, 0.824)
H (0.755, 0.755, 0.824)
Ba (0.500, 0.500, 0.500)
Al (0.500, 0.000, 0.000)
Al (0.000, 0.500, 0.000)

Properties
* ρ: 2.9 g cm⁻³
* spin magnetization: 0.0000 μB/atom
* energy above the lowest structure with this stoichiometry: 277 meV per atom

---

Entry 9:
Density functional theory data (PBE) for a relaxed structure of LaCd2Fe.

abc: 5.072 5.072 5.072
angles: 60.00 60.00 60.00
Positions (direct):
Cd (0.000, 0.000, 0.000)
Cd (0.750, 0.750, 0.750)
La (0.250, 0.250, 0.250)
Fe (0.500, 0.500, 0.500)

Properties
* ρ: 7.6 g cm⁻³
* spin magnetization: 0.7528 μB/atom
* total DFT energy (no corrections): -14.62 eV per formula unit

---

Entry 10:
Density functional theory data (PBE) for a relaxed structure of DyPaCd2O6.

abc: 5.795 5.795 6.138
angles: 61.83 61.83 60.00
Positions (direct):
O (0.191, 0.932, 0.273)
O (0.702, 0.092, 0.764)
O (0.092, 0.443, 0.764)
O (0.443, 0.702, 0.764)
O (0.932, 0.604, 0.273)
O (0.604, 0.191, 0.273)
Pa (0.817, 0.817, 0.548)
Cd (0.035, 0.035, 0.896)
Cd (0.532, 0.531, 0.405)
Dy (0.314, 0.314, 0.057)

Properties
* ρ: 7.9 g cm⁻³
* spin magnetization: 0.0000 μB/atom
* ΔE_f (raw): -2.5682 eV/atom

---

Entry 11:
Density functional theory data (PBE) for a relaxed structure of Ho2AsSe.

abc: 4.079 5.761 8.185
angles: 90.00 90.00 90.00
Positions (direct):
Ho (0.500, 0.500, 0.616)
Ho (0.500, 0.500, 0.137)
Ho (0.000, 0.000, 0.384)
Ho (0.000, 0.000, 0.863)
As (0.500, 0.000, 0.626)
As (0.000, 0.500, 0.374)
Se (0.000, 0.500, 0.878)
Se (0.500, 0.000, 0.122)

Properties
* ρ: 8.4 g cm⁻³
* spin magnetization: 0.0000 μB/atom
* energy above the lowest structure with this stoichiometry: 0 meV per atom
* ΔE_f (raw): -1.6935 eV/atom

---

Entry 12:
Density functional theory data (PBE) for a relaxed structure of LiMgCdC2.

abc: 4.211 5.183 4.211
angles: 90.00 90.00 90.00
Positions (direct):
C (0.500, 0.000, 0.000)
C (0.000, 0.000, 0.500)
Li (0.500, 0.500, 0.500)
Cd (0.000, 0.500, 0.000)
Mg (0.000, 0.000, 0.000)

Properties
* ρ: 3.0 g cm⁻³
* spin magnetization: 0.0001 μB/atom
* total DFT energy (no corrections): -13.54 eV per formula unit

---

Which value of spin magnetization does entry 10 give?
0.0000 μB/atom

---

Which value of ρ does entry 11 give?
8.4 g cm⁻³

---

Repeat the eighth record exactly.
Density functional theory data (PBE) for a relaxed structure of BaAl2H8.

abc: 4.363 4.363 6.005
angles: 90.00 90.00 90.00
Positions (direct):
H (0.755, 0.245, 0.176)
H (0.245, 0.755, 0.176)
H (0.755, 0.245, 0.824)
H (0.245, 0.245, 0.176)
H (0.245, 0.245, 0.824)
H (0.755, 0.755, 0.176)
H (0.245, 0.755, 0.824)
H (0.755, 0.755, 0.824)
Ba (0.500, 0.500, 0.500)
Al (0.500, 0.000, 0.000)
Al (0.000, 0.500, 0.000)

Properties
* ρ: 2.9 g cm⁻³
* spin magnetization: 0.0000 μB/atom
* energy above the lowest structure with this stoichiometry: 277 meV per atom

---

spin magnetization of number 12 (LiMgCdC2)?
0.0001 μB/atom